An optimized crystal structure of Sr2CePaO6. Source: the Alexandria database, functional PBE-GGA.

The space group is P2_1/c (No. 14) and the conventional cell measures 6.0808, 6.2507 and 10.6276 Å, with angles of 90.00, 124.87 and 90.00 degrees. The distinct sites, in fractional coordinates, are Sr at (0.2352, 0.0459, 0.2482), Ce at (0.0000, 0.0000, 0.5000), Pa at (0.5000, 0.0000, 0.0000), O at (0.1518, 0.1919, 0.9438), O at (0.2453, 0.7103, 0.9361) and O at (0.3707, 0.0495, 0.7597).

Its density of states at the Fermi level is 0.49 states/eV per atom. For the uncorrected formation energy, the calculation gives -3.304 eV/atom.